# 1
VASP calculation (PBE-GGA) on a geometry-optimized Cs3GaCl6 structure.

Summary:
Polymorph energy (0 for the lowest one)   0.000 eV per atom
ΔE_f (raw)   -1.6668 eV/atom
E_tot   -66.7 eV/cell

Geometry as POSCAR:
```
Cs3GaCl6
1.0
-5.765 5.829 0.139
-5.072 -5.207 8.006
6.632 6.425 5.628
Cs Ga Cl
6 2 12
Direct
0.474 0.901 0.698
0.974 0.698 0.901
0.412 0.418 0.582
0.912 0.582 0.418
0.974 0.099 0.302
0.474 0.302 0.099
0.044 0.184 0.816
0.544 0.816 0.184
0.190 0.688 0.646
0.690 0.646 0.688
0.143 0.375 0.883
0.643 0.883 0.375
0.140 0.060 0.940
0.776 0.184 0.816
0.276 0.816 0.184
0.640 0.940 0.060
0.143 0.117 0.625
0.643 0.625 0.117
0.190 0.354 0.312
0.690 0.312 0.354
```

# 2
VASP calculation (PBE-GGA) on a geometry-optimized SrSb2Pb structure.

Summary:
ΔE_f (raw)   -0.4009 eV/atom
E_tot   -30.5 eV/cell

Geometry as POSCAR:
```
SrSb2Pb
1.0
4.741 0.000 0.000
0.000 4.741 0.000
0.000 0.000 11.597
Sr Sb Pb
2 4 2
Direct
0.000 0.500 0.285
0.500 0.000 0.715
0.500 0.000 0.203
0.000 0.500 0.797
0.000 0.000 0.500
0.500 0.500 0.500
0.500 0.500 0.000
0.000 0.000 0.000
```

# 3
VASP calculation (PBE-GGA) on a geometry-optimized RuPt12Rh3 structure.

Summary:
Calculated formation energy   -0.0076 eV per atom
E_tot   -103.9 eV/cell

Geometry as POSCAR:
```
RuPt12Rh3
1.0
-0.442 3.132 -2.341
-3.115 1.141 2.116
9.476 8.386 9.429
Ru Pt Rh
1 12 3
Direct
0.000 0.000 0.000
0.500 0.500 0.000
0.500 0.500 0.249
0.500 0.500 0.500
0.500 0.500 0.751
0.500 0.000 0.123
0.500 0.000 0.375
0.500 0.000 0.625
0.500 0.000 0.877
0.000 0.500 0.123
0.000 0.500 0.375
0.000 0.500 0.625
0.000 0.500 0.877
0.000 0.000 0.250
0.000 0.000 0.500
0.000 0.000 0.750
```

# 4
VASP calculation (PBE-GGA) on a geometry-optimized Al18Co5Ni3 structure.

Summary:
Calculated formation energy   -0.4814 eV per atom
E_tot   -132.8 eV/cell

Geometry as POSCAR:
```
Al18Co5Ni3
1.0
2.030 6.066 0.007
-2.030 6.066 0.007
0.000 4.171 14.725
Al Co Ni
18 5 3
Direct
0.321 0.321 0.272
0.319 0.319 0.772
0.681 0.681 0.227
0.681 0.681 0.729
0.495 0.495 0.367
0.496 0.496 0.868
0.504 0.504 0.129
0.504 0.504 0.632
0.700 0.700 0.405
0.698 0.698 0.908
0.294 0.294 0.097
0.300 0.300 0.595
0.004 0.004 0.247
0.999 0.999 0.751
0.098 0.098 0.029
0.095 0.095 0.527
0.905 0.905 0.472
0.904 0.904 0.975
0.113 0.113 0.355
0.113 0.113 0.855
0.887 0.887 0.145
0.887 0.887 0.645
0.706 0.706 0.063
0.706 0.706 0.563
0.293 0.293 0.437
0.295 0.295 0.936
```

# 5
VASP calculation (PBE-GGA) on a geometry-optimized Ca2AcPaP4 structure.

Summary:
Calculated formation energy   -1.2583 eV per atom
E_tot   -49.3 eV/cell

Geometry as POSCAR:
```
Ca2AcPaP4
1.0
4.227 0.000 0.000
0.000 7.348 0.132
0.000 -2.557 6.672
Ca Ac Pa P
2 1 1 4
Direct
0.500 0.000 0.500
0.000 0.500 0.500
0.500 0.500 0.000
0.000 0.000 0.000
0.500 0.224 0.232
0.500 0.776 0.768
0.000 0.225 0.760
0.000 0.775 0.240
```